1.
Sm2TmZn2 after structural relaxation. Source: Alexandria via LeMat-Bulk, functional PBE.

Summary:
- Volume: 25.998 A^3/atom
- Density: 7.67 g/cm³
- D(E_F): 1.26 states/eV/atom
- Magnetic moment: 0.00 μB/atom
- Symmetry: P2_1/m
- ΔE_f: -0.14 eV/atom
- Total energy: -3.4288 eV/atom

Cell: 4.4944 4.3746 13.4099 Å, 90.00 99.58 90.00°
Atoms (fractional coordinates):
Sm 0.0546 0.2500 0.1115
Sm 0.2635 0.7500 0.5271
Sm 0.7365 0.2500 0.4729
Sm 0.9454 0.7500 0.8885
Tm 0.3651 0.2500 0.7277
Tm 0.6349 0.7500 0.2723
Zn 0.1664 0.2500 0.3330
Zn 0.4735 0.2500 0.9476
Zn 0.5265 0.7500 0.0524
Zn 0.8336 0.7500 0.6670

---

2.
SmTm2Zn3 after structural relaxation. Source: Alexandria via LeMat-Bulk, functional PBE.

Summary:
- Volume: 22.606 A^3/atom
- Density: 8.38 g/cm³
- D(E_F): 1.10 states/eV/atom
- Magnetic moment: 0.00 μB/atom
- Symmetry: P4/mmm
- ΔE_f: -0.33 eV/atom
- Total energy: -3.2487 eV/atom

Cell: 3.5596 3.5596 10.7046 Å, 90.00 90.00 90.00°
Atoms (fractional coordinates):
Sm 0.0000 0.0000 0.0000
Tm 0.0000 0.0000 0.3367
Tm 0.0000 0.0000 0.6633
Zn 0.5000 0.5000 0.1790
Zn 0.5000 0.5000 0.5000
Zn 0.5000 0.5000 0.8210

---

3.
Sm5Tm4Zn after structural relaxation. Source: Alexandria via LeMat-Bulk, functional PBE.

Summary:
- Volume: 30.401 A^3/atom
- Density: 8.15 g/cm³
- D(E_F): 1.37 states/eV/atom
- Magnetic moment: 0.00 μB/atom
- Symmetry: P4/mmm
- ΔE_f: -0.04 eV/atom
- Total energy: -4.3184 eV/atom

Cell: 3.5913 3.5913 23.5705 Å, 90.00 90.00 90.00°
Atoms (fractional coordinates):
Sm 0.0000 0.0000 0.0000
Sm 0.0000 0.0000 0.2104
Sm 0.0000 0.0000 0.4225
Sm 0.0000 0.0000 0.5775
Sm 0.0000 0.0000 0.7896
Tm 0.5000 0.5000 0.1050
Tm 0.5000 0.5000 0.3149
Tm 0.5000 0.5000 0.6851
Tm 0.5000 0.5000 0.8950
Zn 0.5000 0.5000 0.5000

---

4.
Sm2Tm3Zn2 after structural relaxation. Source: Alexandria via LeMat-Bulk, functional PBE.

Summary:
- Volume: 27.106 A^3/atom
- Density: 8.21 g/cm³
- D(E_F): 1.07 states/eV/atom
- Magnetic moment: 0.11 μB/atom
- Symmetry: Cmmm
- ΔE_f: -0.13 eV/atom
- Total energy: -3.7580 eV/atom

Cell: 15.1890 15.1890 3.5085 Å, 90.00 90.00 166.44°
Atoms (fractional coordinates):
Sm 0.1987 0.8013 0.0000
Sm 0.8013 0.1987 0.0000
Tm 0.0815 0.9185 0.0000
Tm 0.5000 0.5000 0.5000
Tm 0.9185 0.0815 0.0000
Zn 0.3631 0.6369 0.5000
Zn 0.6369 0.3631 0.5000

---

5.
Sm2Tm3Zn2 after structural relaxation. Source: Alexandria via LeMat-Bulk, functional PBE.

Summary:
- Volume: 27.454 A^3/atom
- Density: 8.11 g/cm³
- D(E_F): 1.31 states/eV/atom
- Magnetic moment: 0.00 μB/atom
- Symmetry: C2/m
- ΔE_f: -0.09 eV/atom
- Total energy: -3.7203 eV/atom

Cell: 6.1514 6.1514 8.0371 Å, 114.49 114.49 45.00°
Atoms (fractional coordinates):
Sm 0.1357 0.1357 0.2897
Sm 0.8643 0.8643 0.7103
Tm 0.3660 0.3660 0.0401
Tm 0.5000 0.5000 0.5000
Tm 0.6340 0.6340 0.9599
Zn 0.1456 0.1456 0.6915
Zn 0.8544 0.8544 0.3085

---

6.
Sm3Tm2Zn2 after structural relaxation. Source: Alexandria via LeMat-Bulk, functional PBE.

Summary:
- Volume: 27.890 A^3/atom
- Density: 7.82 g/cm³
- D(E_F): 1.32 states/eV/atom
- Magnetic moment: 0.00 μB/atom
- Symmetry: Cmmm
- ΔE_f: -0.09 eV/atom
- Total energy: -3.7540 eV/atom

Cell: 15.3788 15.3788 3.5546 Å, 90.00 90.00 166.57°
Atoms (fractional coordinates):
Sm 0.0000 0.0000 0.0000
Sm 0.1211 0.8789 0.0000
Sm 0.8789 0.1211 0.0000
Tm 0.2977 0.7023 0.5000
Tm 0.7023 0.2977 0.5000
Zn 0.4398 0.5602 0.5000
Zn 0.5602 0.4398 0.5000

---

7.
Sm3TmZn2 after structural relaxation. Source: Alexandria via LeMat-Bulk, functional PBE.

Summary:
- Volume: 30.292 A^3/atom
- Density: 6.86 g/cm³
- D(E_F): 1.59 states/eV/atom
- Magnetic moment: 0.00 μB/atom
- Symmetry: Ibam
- ΔE_f: 0.05 eV/atom
- Total energy: -3.4753 eV/atom

Cell: 8.7824 8.7824 8.7824 Å, 133.44 69.82 131.09°
Atoms (fractional coordinates):
Sm 0.0238 0.7500 0.2738
Sm 0.2500 0.2500 0.0000
Sm 0.4762 0.7500 0.7262
Sm 0.5238 0.2500 0.2738
Sm 0.7500 0.7500 0.0000
Sm 0.9762 0.2500 0.7262
Tm 0.0000 0.5000 0.5000
Tm 0.5000 0.0000 0.5000
Zn 0.1369 0.2062 0.3430
Zn 0.3631 0.7062 0.0693
Zn 0.6369 0.2938 0.9307
Zn 0.8631 0.7938 0.6570

---

8.
Sm3Tm4Zn after structural relaxation. Source: Alexandria via LeMat-Bulk, functional PBE.

Summary:
- Volume: 29.379 A^3/atom
- Density: 8.42 g/cm³
- D(E_F): 1.18 states/eV/atom
- Magnetic moment: 0.00 μB/atom
- Symmetry: P4/mmm
- ΔE_f: -0.07 eV/atom
- Total energy: -4.2378 eV/atom

Cell: 3.5400 3.5400 18.7558 Å, 90.00 90.00 90.00°
Atoms (fractional coordinates):
Sm 0.0000 0.0000 0.0000
Sm 0.0000 0.0000 0.2695
Sm 0.0000 0.0000 0.7305
Tm 0.5000 0.5000 0.1351
Tm 0.5000 0.5000 0.4067
Tm 0.5000 0.5000 0.5933
Tm 0.5000 0.5000 0.8649
Zn 0.0000 0.0000 0.5000